## LiTm2In2 (PBE)

Data for crystalline LiTm2In2 at its relaxed geometry.

Cell: 7.8520 7.8520 7.8520 Å, 133.40 66.97 134.76°
Closest atoms and distances in Å follow each position.
Positions (direct):
Li 0.2500 0.2500 0.0000  4 In 2.73, 2 Li 3.02
Li 0.7500 0.7500 0.0000  4 In 2.73, 2 Li 3.02
Tm 0.1810 0.2049 0.3859  2 Li 3.09, 4 In 3.13-3.37
Tm 0.3190 0.7049 0.0238  2 Li 3.09, 4 In 3.13-3.37
Tm 0.6810 0.2951 0.9762  2 Li 3.09, 4 In 3.13-3.37
Tm 0.8190 0.7951 0.6141  2 Li 3.09, 4 In 3.13-3.37
In 0.0807 0.6763 0.7570  2 Li 2.73, 1 In 3.04
In 0.4193 0.1763 0.5955  2 Li 2.73, 1 In 3.04
In 0.5807 0.8237 0.4045  2 Li 2.73, 1 In 3.04
In 0.9193 0.3237 0.2430  2 Li 2.73, 1 In 3.04

Computed properties:
SG: No. 72
N(E_F): 0.99 states/eV per atom
ΔE to the lowest computed polymorph: 142 meV/atom